The following is a DFT calculation (PBE) of an optimized crystal structure of ErNi4Pd.

a b c (Å): 6.9053 6.9053 6.9053
angles (deg): 90.00 90.00 90.00
Last column: nearest neighbours and their distance in Å.
Space group F-43m (No. 216)
Symmetry-distinct sites (fractional):
Er  0.0000  0.0000  0.0000 (multiplicity 4)  12 Ni 2.86, 4 Pd 2.99
Ni  0.1245  0.1245  0.3755 (multiplicity 16)  6 Ni 2.43-2.45
Pd  0.2500  0.2500  0.7500 (multiplicity 4)  12 Ni 2.86, 4 Er 2.99

Total magnetic moment = 0.16 μB per atom
Theoretical density = 10.3 g/cm³
DFT formation energy = -0.38 eV/atom
E = -0.4305 Ry per atom
N(E_F) = 6.95 states/eV/f.u.